DFT (GGA+U) results for a relaxed structure of Rb3Ce3VO8.

Theoretical density   5.0 Mg/m³
Magnetization   4.06 μB/f.u.
DOS(E_F)   23.11 states/eV/cell
DFT total energy   -0.51849 Ry per atom

Lattice parameters (Å, degrees): 7.0501 7.0501 19.7043 90.00 90.00 120.00
Closest atoms and distances in Å follow each position.
Space group R-3m (No. 166, hexagonal axes)
Unique sites:
Rb1 0.0000 0.5000 0.0000 (multiplicity 9)  6 O 2.93-3.00
Ce1 0.0000 0.5000 0.5000 (multiplicity 9)  6 O 2.31-2.35
V1 0.0000 0.0000 0.5000 (multiplicity 3)  6 O 2.28
O1 0.0000 0.0000 0.2265 (multiplicity 6)  3 Ce 2.35
O2 0.0039 0.5019 0.2209 (multiplicity 18)  1 V 2.28, 2 Ce 2.31